Below is K4Pu3PtO12 after structural relaxation, with properties calculated at the PBE level.

Summary:
- Uncorrected energy: -7.80 eV per atom
- Raw formation energy: -2149 meV per atom
- Space group: Im-3m (229)

Unit cell a=7.279 b=7.279 c=7.279 alpha=109.47 beta=109.47 gamma=109.47
Last column: magnetic moment on the atom in μB.
Fractional positions:
K (0.500, 0.500, 0.500)  0.00
K (0.000, 0.000, 0.500)  0.00
K (0.500, 0.000, 0.000)  0.00
K (0.000, 0.500, 0.000)  0.00
Pu (0.500, 0.000, 0.500)  3.04
Pu (0.500, 0.500, 0.000)  3.04
Pu (0.000, 0.500, 0.500)  3.04
Pt (0.000, 0.000, 0.000)  0.16
O (0.250, 0.500, 0.750)  -0.11
O (0.749, 0.000, 0.749)  -0.10
O (0.251, 0.000, 0.251)  -0.10
O (0.750, 0.500, 0.250)  -0.11
O (0.749, 0.749, 0.000)  -0.10
O (0.251, 0.251, 0.000)  -0.10
O (0.750, 0.250, 0.500)  -0.11
O (0.250, 0.750, 0.500)  -0.11
O (0.500, 0.250, 0.750)  -0.11
O (0.000, 0.749, 0.749)  -0.10
O (0.500, 0.750, 0.250)  -0.11
O (0.000, 0.251, 0.251)  -0.10